--- one ---
First-principles (PBE-GGA) data for a geometry-optimized RbIrPt structure, as listed in OQMD.

a b c (Å): 6.628 6.628 6.628
angles (deg): 90.00 90.00 90.00
Space group F-43m (No. 216)
One atom of each set of equivalent atoms:
Rb 0.000 0.000 0.000 [4 per cell]
Ir 0.250 0.250 0.750 [4 per cell]
Pt 0.000 0.000 0.500 [4 per cell]

Values from the calculation:
Magnetic moment   6.3 μB/cell

***

--- two ---
First-principles (PBE-GGA) data for a geometry-optimized RbIrPt structure, as listed in OQMD.

a b c (Å): 6.672 6.672 6.672
angles (deg): 90.00 90.00 90.00
Space group F-43m (No. 216)
One atom of each set of equivalent atoms:
Rb 0.000 0.000 0.000 [4 per cell]
Ir 0.250 0.250 0.750 [4 per cell]
Pt 0.250 0.250 0.250 [4 per cell]

Values from the calculation:
Magnetic moment   4.4 μB/cell

***

Structures ranked by computed energy, the most stable listed first: one, two.

***

--- one ---
First-principles (PBE-GGA) data for a geometry-optimized Si2IrPt structure, as listed in OQMD.

a b c (Å): 4.018 8.219 3.609
angles (deg): 90.00 90.00 90.00
Space group Pmn2_1 (No. 31)
One atom of each set of equivalent atoms:
Si 0.000 0.218 0.000 [2 per cell]
Si 0.000 0.743 0.001 [2 per cell]
Ir 0.000 0.933 0.502 [2 per cell]
Pt 0.000 0.420 0.501 [2 per cell]

Values from the calculation:
Magnetic moment   0.0 μB/cell

***

--- two ---
First-principles (PBE-GGA) data for a geometry-optimized Si2IrPt structure, as listed in OQMD.

a b c (Å): 6.203 6.203 6.203
angles (deg): 90.00 90.00 90.00
Space group F-43m (No. 216)
One atom of each set of equivalent atoms:
Si 0.000 0.000 0.000 [4 per cell]
Si 0.250 0.250 0.250 [4 per cell]
Ir 0.250 0.250 0.750 [4 per cell]
Pt 0.000 0.000 0.500 [4 per cell]

Values from the calculation:
Magnetic moment   0.0 μB/cell

***

--- three ---
First-principles (PBE-GGA) data for a geometry-optimized Si2IrPt structure, as listed in OQMD.

a b c (Å): 3.642 5.853 5.510
angles (deg): 90.00 90.00 90.00
Space group Pmc2_1 (No. 26)
One atom of each set of equivalent atoms:
Si 0.000 0.156 0.000 [2 per cell]
Si 0.500 0.327 0.647 [2 per cell]
Ir 0.500 0.052 0.321 [2 per cell]
Pt 0.000 0.447 0.316 [2 per cell]

Values from the calculation:
Magnetic moment   0.0 μB/cell

***

Structures ranked by computed energy, the most stable listed first: three, one, two.